A relaxed structure of SmTl2GeTe4, computed with PBE.

Computed properties:
**ΔE_f (raw)**: -0.56 eV per atom

Geometry as CIF:
```
data_SmTl2GeTe4
_chemical_formula_sum 'Sm1 Tl2 Ge1 Te4'
_cell_length_a 7.8383
_cell_length_b 4.4487
_cell_length_c 8.1568
_cell_angle_alpha 90.00
_cell_angle_beta 108.97
_cell_angle_gamma 90.00
_symmetry_space_group_name_H-M 'P 1 2/m 1'
_symmetry_Int_Tables_number 10
_symmetry_space_group_name_Hall '-P 2y'
loop_
_atom_site_label
_atom_site_type_symbol
_atom_site_fract_x
_atom_site_fract_y
_atom_site_fract_z
_atom_site_occupancy
Sm1 Sm 0.0000 0.0000 0.0000 1
Tl1 Tl 0.0000 0.5000 0.5000 1
Tl2 Tl 0.5000 0.0000 0.5000 1
Ge1 Ge 0.5000 0.5000 0.0000 1
Te1 Te 0.2510 0.5000 0.2174 1
Te2 Te 0.2680 0.0000 0.7855 1
```